Here is a relaxed AcNbCo2O8 crystal from the Alexandria database. Energies are from PBE+U.

Properties
Space group = I-4m2
Energy = -7.012 eV per atom
M_tot = 0.503 μB/atom

Unit cell a=5.969 b=5.969 c=5.969 alpha=106.45 beta=106.45 gamma=115.71
Positions (direct):
O: 0.376 0.081 0.295
O: 0.919 0.214 0.295
Co: 0.750 0.250 0.500
Nb: 0.000 0.000 0.000
O: 0.286 0.444 0.158
O: 0.919 0.624 0.705
Co: 0.500 0.500 0.000
O: 0.556 0.714 0.842
Ac: 0.250 0.750 0.500
O: 0.872 0.714 0.158
O: 0.786 0.081 0.705
O: 0.286 0.128 0.842